Ca4Al2P2H10O13F8 | the Alexandria database | PBE-GGA | optimized geometry; symmetry = P-1, No. 2; E = -467.6 eV/cell; magnetization = 0.00 μB per cell; crystal system = triclinic
1.0
6.2498 0.0000 0.0000
0.2958 9.9179 0.0000
2.8705 0.0544 13.2713
Ca Al P H O F
8 4 4 20 26 16
Direct
0.0303 0.1993 0.1470
0.1335 0.3853 0.8979
0.3205 0.9047 0.6052
0.4620 0.2780 0.6337
0.5380 0.7220 0.3663
0.6795 0.0953 0.3948
0.8665 0.6147 0.1021
0.9697 0.8007 0.8530
0.2031 0.5593 0.6248
0.3046 0.0501 0.8783
0.6954 0.9499 0.1217
0.7969 0.4407 0.3752
0.2195 0.8812 0.0800
0.2902 0.3889 0.4184
0.7098 0.6111 0.5816
0.7805 0.1188 0.9200
0.0176 0.1836 0.6239
0.1434 0.6213 0.3294
0.1716 0.0129 0.2926
0.1806 0.1522 0.3453
0.1918 0.1637 0.5206
0.1975 0.7215 0.2374
0.3918 0.6088 0.1035
0.4422 0.2636 0.2157
0.4597 0.4534 0.1205
0.4898 0.7804 0.8965
0.5102 0.2196 0.1035
0.5403 0.5466 0.8795
0.5578 0.7364 0.7843
0.6082 0.3912 0.8965
0.8025 0.2785 0.7626
0.8082 0.8363 0.4794
0.8194 0.8478 0.6547
0.8284 0.9871 0.7074
0.8566 0.3787 0.6706
0.9824 0.8164 0.3761
0.0039 0.9641 0.1197
0.0877 0.0973 0.3087
0.1003 0.4379 0.3696
0.1561 0.1341 0.5922
0.1871 0.7319 0.1119
0.1990 0.7127 0.3110
0.2392 0.4123 0.5342
0.2785 0.8896 0.9619
0.3359 0.2349 0.4022
0.3945 0.9461 0.1272
0.4014 0.2775 0.1505
0.4857 0.4540 0.8896
0.4933 0.4702 0.3696
0.5067 0.5298 0.6304
0.5143 0.5460 0.1104
0.5986 0.7225 0.8495
0.6055 0.0539 0.8728
0.6641 0.7651 0.5978
0.7215 0.1104 0.0381
0.7608 0.5877 0.4658
0.8010 0.2873 0.6890
0.8129 0.2681 0.8881
0.8439 0.8659 0.4078
0.8997 0.5621 0.6304
0.9123 0.9027 0.6913
0.9961 0.0359 0.8803
0.0037 0.6005 0.9291
0.1608 0.4326 0.7268
0.1844 0.6970 0.7145
0.2354 0.1744 0.9810
0.2677 0.6891 0.5254
0.3200 0.1976 0.7930
0.3411 0.9348 0.7713
0.4111 0.9297 0.4312
0.5889 0.0703 0.5688
0.6589 0.0652 0.2287
0.6800 0.8024 0.2070
0.7323 0.3109 0.4746
0.7646 0.8256 0.0190
0.8156 0.3030 0.2855
0.8392 0.5674 0.2732
0.9963 0.3995 0.0709